Record 1
Compound: Th2MgCd4
Source: Alexandria
Functional: GGA-PBE
Structure: optimized geometry

Cell and atoms, written as CIF:
```
data_Th2MgCd4
_cell_length_a 5.1727
_cell_length_b 5.1727
_cell_length_c 25.7460
_cell_angle_alpha 90.00
_cell_angle_beta 90.00
_cell_angle_gamma 120.00
_space_group_name_H-M_alt 'R -3 m'
_space_group_IT_number 166
_space_group_name_Hall '-R 3 2"'
loop_
_atom_site_label
_atom_site_fract_x
_atom_site_fract_y
_atom_site_fract_z
Th1 0.0000 0.0000 0.2482
Mg1 0.0000 0.0000 0.5000
Cd1 0.0000 0.0000 0.1233
Cd2 0.0000 0.0000 0.3711
```

Record 2
Compound: ThMg5Cd7
Source: Alexandria
Functional: GGA-PBE
Structure: optimized geometry

Cell and atoms, written as CIF:
```
data_ThMg5Cd7
_cell_length_a 6.0576
_cell_length_b 9.9133
_cell_length_c 9.8000
_cell_angle_alpha 90.00
_cell_angle_beta 90.00
_cell_angle_gamma 90.00
_space_group_name_H-M_alt 'I m m 2'
_space_group_IT_number 44
loop_
_space_group_symop_operation_xyz
'x,y,z'
'-x,-y,z'
'-x,y,z'
'x,-y,z'
'x+1/2,y+1/2,z+1/2'
'-x+1/2,-y+1/2,z+1/2'
'-x+1/2,y+1/2,z+1/2'
'x+1/2,-y+1/2,z+1/2'
loop_
_atom_site_label
_atom_site_fract_x
_atom_site_fract_y
_atom_site_fract_z
Th1 0.0000 0.0000 0.0000
Mg1 0.0000 0.5000 0.2814
Mg2 0.2484 0.2535 0.7490
Cd1 0.0000 0.0000 0.3504
Cd2 0.0000 0.0000 0.6562
Cd3 0.0000 0.2926 0.4955
Cd4 0.0000 0.3485 0.0022
Cd5 0.0000 0.5000 0.7121
```

Record 3
Compound: Th2MgCd
Source: Alexandria
Functional: GGA-PBE
Structure: optimized geometry

Cell and atoms, written as CIF:
```
data_Th2MgCd
_cell_length_a 3.3381
_cell_length_b 3.3381
_cell_length_c 37.4539
_cell_angle_alpha 90.00
_cell_angle_beta 90.00
_cell_angle_gamma 120.00
_space_group_name_H-M_alt 'R -3 m'
_space_group_IT_number 166
_space_group_name_Hall '-R 3 2"'
loop_
_atom_site_label
_atom_site_fract_x
_atom_site_fract_y
_atom_site_fract_z
Th1 0.0000 0.0000 0.0891
Mg1 0.0000 0.0000 0.5000
Cd1 0.0000 0.0000 0.0000
```

Record 4
Compound: ThMg2Cd
Source: Alexandria
Functional: GGA-PBE
Structure: optimized geometry

Cell and atoms, written as CIF:
```
data_ThMg2Cd
_cell_length_a 7.3892
_cell_length_b 7.3923
_cell_length_c 5.2227
_cell_angle_alpha 90.00
_cell_angle_beta 134.82
_cell_angle_gamma 90.00
_space_group_name_H-M_alt 'C 1 2 1'
_space_group_IT_number 5
loop_
_space_group_symop_operation_xyz
'x,y,z'
'-x,y,-z'
'x+1/2,y+1/2,z'
'-x+1/2,y+1/2,-z'
loop_
_atom_site_label
_atom_site_fract_x
_atom_site_fract_y
_atom_site_fract_z
Th1 0.0000 0.0000 0.0000
Mg1 0.0000 0.2513 0.5000
Mg2 0.0000 0.5002 0.0000
Cd1 0.0000 0.7485 0.5000
```

Output
Energy above the most stable polymorph in this dataset in meV per atom: 47.7

Record 5
Compound: ThMg11Cd
Source: Alexandria
Functional: GGA-PBE
Structure: optimized geometry

Cell and atoms, written as CIF:
```
data_ThMg11Cd
_cell_length_a 5.9041
_cell_length_b 14.3779
_cell_length_c 7.7323
_cell_angle_alpha 90.00
_cell_angle_beta 111.99
_cell_angle_gamma 90.00
_space_group_name_H-M_alt 'C 1 2/m 1'
_space_group_IT_number 12
loop_
_space_group_symop_operation_xyz
'x,y,z'
'-x,-y,-z'
'-x,y,-z'
'x,-y,z'
'x+1/2,y+1/2,z'
'-x+1/2,-y+1/2,-z'
'-x+1/2,y+1/2,-z'
'x+1/2,-y+1/2,z'
loop_
_atom_site_label
_atom_site_fract_x
_atom_site_fract_y
_atom_site_fract_z
Th1 0.0000 0.0000 0.0000
Mg1 0.0000 0.0000 0.5000
Mg2 0.1049 0.3950 0.2121
Mg3 0.1762 0.1746 0.3518
Mg4 0.2500 0.2500 0.0000
Cd1 0.0000 0.5000 0.5000
```

Record 6
Compound: Th2Mg15Cd2
Source: Alexandria
Functional: GGA-PBE
Structure: optimized geometry

Cell and atoms, written as CIF:
```
data_Th2Mg15Cd2
_cell_length_a 10.1598
_cell_length_b 10.1598
_cell_length_c 15.0816
_cell_angle_alpha 90.00
_cell_angle_beta 90.00
_cell_angle_gamma 120.00
_space_group_name_H-M_alt 'R -3 m'
_space_group_IT_number 166
_space_group_name_Hall '-R 3 2"'
loop_
_atom_site_label
_atom_site_fract_x
_atom_site_fract_y
_atom_site_fract_z
Th1 0.0000 0.0000 0.1716
Mg1 0.0000 0.3032 0.5000
Mg2 0.0000 0.5000 0.0000
Mg3 0.0089 0.5045 0.6518
Cd1 0.0000 0.0000 0.4002
```

Record 7
Compound: Th2Mg5Cd12
Source: Alexandria
Functional: GGA-PBE
Structure: optimized geometry

Cell and atoms, written as CIF:
```
data_Th2Mg5Cd12
_cell_length_a 10.0057
_cell_length_b 10.0057
_cell_length_c 14.9329
_cell_angle_alpha 90.00
_cell_angle_beta 90.00
_cell_angle_gamma 120.00
_space_group_name_H-M_alt 'R -3 m'
_space_group_IT_number 166
_space_group_name_Hall '-R 3 2"'
loop_
_atom_site_label
_atom_site_fract_x
_atom_site_fract_y
_atom_site_fract_z
Th1 0.0000 0.0000 0.1658
Mg1 0.0000 0.0000 0.3975
Mg2 0.0000 0.5000 0.0000
Cd1 0.0000 0.2936 0.5000
Cd2 0.0065 0.5033 0.6442
```

Record 8
Compound: ThMgCd
Source: Alexandria
Functional: GGA-PBE
Structure: optimized geometry

Cell and atoms, written as CIF:
```
data_ThMgCd
_cell_length_a 5.1618
_cell_length_b 5.1618
_cell_length_c 3.3770
_cell_angle_alpha 90.00
_cell_angle_beta 90.00
_cell_angle_gamma 120.00
_space_group_name_H-M_alt 'P -6 m 2'
_space_group_IT_number 187
_space_group_name_Hall 'P -6 2'
loop_
_atom_site_label
_atom_site_fract_x
_atom_site_fract_y
_atom_site_fract_z
Th1 0.0000 0.0000 0.0000
Mg1 0.3333 0.6667 0.5000
Cd1 0.6667 0.3333 0.5000
```

Record 9
Compound: Th2Mg16Cd
Source: Alexandria
Functional: GGA-PBE
Structure: optimized geometry

Cell and atoms, written as CIF:
```
data_Th2Mg16Cd
_cell_length_a 10.1874
_cell_length_b 10.1874
_cell_length_c 15.0959
_cell_angle_alpha 90.00
_cell_angle_beta 90.00
_cell_angle_gamma 120.00
_space_group_name_H-M_alt 'R 3 m'
_space_group_IT_number 160
_space_group_name_Hall 'R 3 -2"'
loop_
_atom_site_label
_atom_site_fract_x
_atom_site_fract_y
_atom_site_fract_z
Th1 0.0000 0.0000 0.0000
Th2 0.0000 0.0000 0.3406
Mg1 0.0000 0.0000 0.7657
Mg2 0.0000 0.3040 0.6713
Mg3 0.0053 0.5027 0.1709
Mg4 0.0149 0.5074 0.8242
Mg5 0.1686 0.3373 0.8528
Cd1 0.0000 0.0000 0.5691
```

Record 10
Compound: Th2MgCd6
Source: Alexandria
Functional: GGA-PBE
Structure: optimized geometry

Cell and atoms, written as CIF:
```
data_Th2MgCd6
_cell_length_a 8.8589
_cell_length_b 8.8589
_cell_length_c 3.3137
_cell_angle_alpha 90.00
_cell_angle_beta 90.00
_cell_angle_gamma 120.00
_space_group_name_H-M_alt 'P 6/m m m'
_space_group_IT_number 191
_space_group_name_Hall '-P 6 2'
loop_
_atom_site_label
_atom_site_fract_x
_atom_site_fract_y
_atom_site_fract_z
Th1 0.3333 0.6667 0.0000
Mg1 0.0000 0.0000 0.0000
Cd1 0.0000 0.3259 0.5000
```

Output
Energy above the most stable polymorph in this dataset in meV per atom: 0.0

Record 11
Compound: Th2Mg12Cd5
Source: Alexandria
Functional: GGA-PBE
Structure: optimized geometry

Cell and atoms, written as CIF:
```
data_Th2Mg12Cd5
_cell_length_a 10.1188
_cell_length_b 10.1188
_cell_length_c 14.9045
_cell_angle_alpha 90.00
_cell_angle_beta 90.00
_cell_angle_gamma 120.00
_space_group_name_H-M_alt 'R -3 m'
_space_group_IT_number 166
_space_group_name_Hall '-R 3 2"'
loop_
_atom_site_label
_atom_site_fract_x
_atom_site_fract_y
_atom_site_fract_z
Th1 0.0000 0.0000 0.1682
Mg1 0.0000 0.3039 0.5000
Mg2 0.0069 0.5034 0.6529
Cd1 0.0000 0.0000 0.4019
Cd2 0.0000 0.5000 0.0000
```

Record 12
Compound: ThMg2Cd
Source: Alexandria
Functional: GGA-PBE
Structure: optimized geometry

Cell and atoms, written as CIF:
```
data_ThMg2Cd
_cell_length_a 3.3846
_cell_length_b 3.3846
_cell_length_c 8.7043
_cell_angle_alpha 90.00
_cell_angle_beta 90.00
_cell_angle_gamma 90.00
_space_group_name_H-M_alt 'P 4/m m m'
_space_group_IT_number 123
_space_group_name_Hall '-P 4 2'
loop_
_atom_site_label
_atom_site_fract_x
_atom_site_fract_y
_atom_site_fract_z
Th1 0.0000 0.0000 0.0000
Mg1 0.5000 0.5000 0.2867
Cd1 0.0000 0.0000 0.5000
```

Output
Energy above the most stable polymorph in this dataset in meV per atom: 20.0

Record 13
Compound: ThMg10Cd2
Source: Alexandria
Functional: GGA-PBE
Structure: optimized geometry

Cell and atoms, written as CIF:
```
data_ThMg10Cd2
_cell_length_a 5.9149
_cell_length_b 14.2433
_cell_length_c 14.3358
_cell_angle_alpha 90.00
_cell_angle_beta 90.00
_cell_angle_gamma 90.00
_space_group_name_H-M_alt 'F m m m'
_space_group_IT_number 69
_space_group_name_Hall '-F 2 2'
loop_
_atom_site_label
_atom_site_fract_x
_atom_site_fract_y
_atom_site_fract_z
Th1 0.0000 0.0000 0.0000
Mg1 0.0000 0.1066 0.3953
Mg2 0.0000 0.1767 0.1735
Mg3 0.2500 0.0000 0.2500
Cd1 0.2500 0.2500 0.0000
```

Record 14
Compound: ThMg3Cd9
Source: Alexandria
Functional: GGA-PBE
Structure: optimized geometry

Cell and atoms, written as CIF:
```
data_ThMg3Cd9
_cell_length_a 6.0168
_cell_length_b 13.9906
_cell_length_c 7.5929
_cell_angle_alpha 90.00
_cell_angle_beta 113.28
_cell_angle_gamma 90.00
_space_group_name_H-M_alt 'C 1 2/m 1'
_space_group_IT_number 12
loop_
_space_group_symop_operation_xyz
'x,y,z'
'-x,-y,-z'
'-x,y,-z'
'x,-y,z'
'x+1/2,y+1/2,z'
'-x+1/2,-y+1/2,-z'
'-x+1/2,y+1/2,-z'
'x+1/2,-y+1/2,z'
loop_
_atom_site_label
_atom_site_fract_x
_atom_site_fract_y
_atom_site_fract_z
Th1 0.0000 0.0000 0.0000
Mg1 0.0000 0.5000 0.5000
Mg2 0.2500 0.2500 0.0000
Cd1 0.0000 0.0000 0.5000
Cd2 0.1014 0.3931 0.2118
Cd3 0.1762 0.1750 0.3463
```

Record 15
Compound: ThMgCd2
Source: Alexandria
Functional: GGA-PBE
Structure: optimized geometry

Cell and atoms, written as CIF:
```
data_ThMgCd2
_cell_length_a 3.3167
_cell_length_b 3.3167
_cell_length_c 32.0284
_cell_angle_alpha 90.00
_cell_angle_beta 90.00
_cell_angle_gamma 120.00
_space_group_name_H-M_alt 'R 3 m'
_space_group_IT_number 160
_space_group_name_Hall 'R 3 -2"'
loop_
_atom_site_label
_atom_site_fract_x
_atom_site_fract_y
_atom_site_fract_z
Th1 0.0000 0.0000 0.0000
Mg1 0.0000 0.0000 0.1664
Cd1 0.0000 0.0000 0.5768
Cd2 0.0000 0.0000 0.7563
```

Record 16
Compound: Th3MgCd7
Source: Alexandria
Functional: GGA-PBE
Structure: optimized geometry

Cell and atoms, written as CIF:
```
data_Th3MgCd7
_cell_length_a 3.3444
_cell_length_b 21.1694
_cell_length_c 15.8581
_cell_angle_alpha 90.00
_cell_angle_beta 90.00
_cell_angle_gamma 90.00
_space_group_name_H-M_alt 'C m c m'
_space_group_IT_number 63
_space_group_name_Hall '-C 2c 2'
loop_
_atom_site_label
_atom_site_fract_x
_atom_site_fract_y
_atom_site_fract_z
Th1 0.0000 0.0508 0.0862
Th2 0.0000 0.3531 0.7500
Mg1 0.0000 0.1328 0.7500
Cd1 0.0000 0.2703 0.1523
Cd2 0.0000 0.3110 0.5373
Cd3 0.0000 0.4091 0.0949
Cd4 0.0000 0.4884 0.2500
```

Record 17
Compound: ThMg2Cd
Source: Alexandria
Functional: GGA-PBE
Structure: optimized geometry

Cell and atoms, written as CIF:
```
data_ThMg2Cd
_cell_length_a 4.6411
_cell_length_b 4.6411
_cell_length_c 4.8635
_cell_angle_alpha 90.00
_cell_angle_beta 90.00
_cell_angle_gamma 90.00
_space_group_name_H-M_alt 'P 4/m m m'
_space_group_IT_number 123
_space_group_name_Hall '-P 4 2'
loop_
_atom_site_label
_atom_site_fract_x
_atom_site_fract_y
_atom_site_fract_z
Th1 0.0000 0.0000 0.0000
Mg1 0.0000 0.5000 0.5000
Cd1 0.5000 0.5000 0.0000
```

Output
Energy above the most stable polymorph in this dataset in meV per atom: 70.7

Record 18
Compound: ThMg2Cd2
Source: Alexandria
Functional: GGA-PBE
Structure: optimized geometry

Cell and atoms, written as CIF:
```
data_ThMg2Cd2
_cell_length_a 14.9108
_cell_length_b 3.4205
_cell_length_c 5.0809
_cell_angle_alpha 90.00
_cell_angle_beta 109.73
_cell_angle_gamma 90.00
_space_group_name_H-M_alt 'C 1 2/m 1'
_space_group_IT_number 12
loop_
_space_group_symop_operation_xyz
'x,y,z'
'-x,-y,-z'
'-x,y,-z'
'x,-y,z'
'x+1/2,y+1/2,z'
'-x+1/2,-y+1/2,-z'
'-x+1/2,y+1/2,-z'
'x+1/2,-y+1/2,z'
loop_
_atom_site_label
_atom_site_fract_x
_atom_site_fract_y
_atom_site_fract_z
Th1 0.0000 0.0000 0.0000
Mg1 0.2186 0.5000 0.2181
Cd1 0.1061 0.5000 0.6056
```

Output
Energy above the most stable polymorph in this dataset in meV per atom: 0.0

Record 19
Compound: ThMg3Cd2
Source: Alexandria
Functional: GGA-PBE
Structure: optimized geometry

Cell and atoms, written as CIF:
```
data_ThMg3Cd2
_cell_length_a 16.9606
_cell_length_b 4.8422
_cell_length_c 7.7828
_cell_angle_alpha 90.00
_cell_angle_beta 113.13
_cell_angle_gamma 90.00
_space_group_name_H-M_alt 'C 1 2/m 1'
_space_group_IT_number 12
loop_
_space_group_symop_operation_xyz
'x,y,z'
'-x,-y,-z'
'-x,y,-z'
'x,-y,z'
'x+1/2,y+1/2,z'
'-x+1/2,-y+1/2,-z'
'-x+1/2,y+1/2,-z'
'x+1/2,-y+1/2,z'
loop_
_atom_site_label
_atom_site_fract_x
_atom_site_fract_y
_atom_site_fract_z
Th1 0.1195 0.0000 0.1885
Mg1 0.0687 0.0000 0.7066
Mg2 0.1259 0.5000 0.5083
Mg3 0.1989 0.5000 0.9301
Cd1 0.0204 0.5000 0.8395
Cd2 0.2333 0.0000 0.6622
```

Output
Energy above the most stable polymorph in this dataset in meV per atom: 23.9

Record 20
Compound: ThMg4Cd
Source: Alexandria
Functional: GGA-PBE
Structure: optimized geometry

Cell and atoms, written as CIF:
```
data_ThMg4Cd
_cell_length_a 8.4369
_cell_length_b 8.4369
_cell_length_c 8.4369
_cell_angle_alpha 90.00
_cell_angle_beta 90.00
_cell_angle_gamma 90.00
_space_group_name_H-M_alt 'F -4 3 m'
_space_group_IT_number 216
_space_group_name_Hall 'F -4 2 3'
loop_
_atom_site_label
_atom_site_fract_x
_atom_site_fract_y
_atom_site_fract_z
Th1 0.0000 0.0000 0.0000
Mg1 0.1253 0.1253 0.3747
Cd1 0.2500 0.2500 0.7500
```

Output
Energy above the most stable polymorph in this dataset in meV per atom: 112.7

Record 21
Compound: Th3Mg9Cd2
Source: Alexandria
Functional: GGA-PBE
Structure: optimized geometry

Cell and atoms, written as CIF:
```
data_Th3Mg9Cd2
_cell_length_a 4.8988
_cell_length_b 11.6615
_cell_length_c 12.4426
_cell_angle_alpha 90.00
_cell_angle_beta 90.00
_cell_angle_gamma 90.00
_space_group_name_H-M_alt 'I m m m'
_space_group_IT_number 71
_space_group_name_Hall '-I 2 2'
loop_
_atom_site_label
_atom_site_fract_x
_atom_site_fract_y
_atom_site_fract_z
Th1 0.0000 0.0000 0.0000
Th2 0.0000 0.0000 0.2830
Mg1 0.0000 0.2774 0.1437
Mg2 0.0000 0.3708 0.3676
Mg3 0.0000 0.5000 0.0000
Cd1 0.0000 0.1645 0.5000
```

Record 22
Compound: ThMg2Cd
Source: Alexandria
Functional: GGA-PBE
Structure: optimized geometry

Cell and atoms, written as CIF:
```
data_ThMg2Cd
_cell_length_a 7.3414
_cell_length_b 7.3414
_cell_length_c 7.3414
_cell_angle_alpha 90.00
_cell_angle_beta 90.00
_cell_angle_gamma 90.00
_space_group_name_H-M_alt 'F m -3 m'
_space_group_IT_number 225
_space_group_name_Hall '-F 4 2 3'
loop_
_atom_site_label
_atom_site_fract_x
_atom_site_fract_y
_atom_site_fract_z
Th1 0.0000 0.0000 0.0000
Mg1 0.2500 0.2500 0.2500
Cd1 0.0000 0.0000 0.5000
```

Output
Energy above the most stable polymorph in this dataset in meV per atom: 126.1

no.,theoretical density (g cm⁻³),N(E_F) (states/eV per atom),calculated formation energy (eV/f.u.)
1,7.8,0.7849,0.624
2,6.4,0.3030,-1.520
3,8.3,0.6593,0.953
4,6.5,0.4591,-0.076
5,3.3,0.2991,-0.410
6,3.9,0.4775,-0.276
7,7.4,0.4564,-2.235
8,7.9,0.8943,-0.291
9,3.5,0.4966,-0.047
10,8.6,0.4954,-1.268
11,5.0,0.4673,-1.265
12,6.5,0.4627,-0.186
13,3.8,0.2915,-0.661
14,7.4,0.3291,-1.458
15,7.9,0.6658,-0.144
16,8.9,0.6898,-0.755
17,6.2,1.1127,0.016
18,6.9,0.6947,-0.594
19,6.0,0.6425,-0.485
20,4.9,0.8272,0.698
21,5.3,0.7820,0.023
22,6.6,0.5191,0.238